A plane-wave DFT calculation with GGA+U was carried out for an optimized crystal structure of NbNi3F.

Cell: 4.5085 4.5085 4.5085 Å, 90.00 90.00 90.00°
With the nearest neighbours (Å) after each atom.
Element x y z (fractional)
1 Nb 0.0000 0.0000 0.0000  6 Ni 2.25
2 Ni 0.0000 0.0000 0.5000  2 Nb 2.25
3 Ni 0.0000 0.5000 0.0000  2 Nb 2.25
4 Ni 0.5000 0.0000 0.0000  2 Nb 2.25
5 F 0.5000 0.5000 0.5000  12 Ni 3.19

Output
Total magnetic moment ... 0.0 μB/cell
Relative energy among the computed polymorphs ... 1325.0 meV per atom